Record 1
## Rb3ReBi (PBE)

Data for an optimized crystal structure of Rb3ReBi.

Output
excess energy over the best structure of this formula in the dataset	0.0	kJ per mole of atoms

Cell: 7.1259 7.1259 7.1259 Å, 90.00 90.00 90.00°
With the nearest neighbours (Å) after each atom.
Fractional coordinates of all 5 atoms:
Rb (0.0000, 0.5000, 0.0000)  2 Bi 3.56
Rb (0.0000, 0.0000, 0.5000)  2 Bi 3.56
Re (0.5000, 0.5000, 0.5000)  12 Rb 5.04
Rb (0.5000, 0.0000, 0.0000)  2 Bi 3.56
Bi (0.0000, 0.0000, 0.0000)  6 Rb 3.56


Record 2
## RbReBiRh2 (PBE)

Data for an optimized crystal structure of RbReBiRh2.

Cell: 4.7340 5.9942 4.7340 Å, 90.00 90.00 90.00°
With the nearest neighbours (Å) after each atom.
Fractional coordinates of all 5 atoms:
Rh (0.5000, 0.0000, 0.0000)  2 Rb 2.37
Bi (0.0000, 0.5000, 0.0000)  2 Rb 3.00, 4 Re 3.35
Re (0.5000, 0.5000, 0.5000)  4 Bi 3.35
Rh (0.0000, 0.0000, 0.5000)  2 Rb 2.37
Rb (0.0000, 0.0000, 0.0000)  4 Rh 2.37


Record 3
## RbRe2SnBi (PBE)

Data for an optimized crystal structure of RbRe2SnBi.

Cell: 5.2411 6.0398 5.2411 Å, 90.00 90.00 90.00°
With the nearest neighbours (Å) after each atom.
Fractional coordinates of all 5 atoms:
Sn (0.0000, 0.5000, 0.0000)  2 Bi 3.02
Rb (0.5000, 0.5000, 0.5000)  4 Sn 3.71, 8 Re 4.00
Re (0.0000, 0.0000, 0.5000)  2 Bi 2.62
Re (0.5000, 0.0000, 0.0000)  2 Bi 2.62
Bi (0.0000, 0.0000, 0.0000)  4 Re 2.62


Record 4
## RbReSn2Bi (PBE)

Data for an optimized crystal structure of RbReSn2Bi.

Cell: 5.8508 5.1367 5.8508 Å, 90.00 90.00 90.00°
With the nearest neighbours (Å) after each atom.
Fractional coordinates of all 5 atoms:
Bi (0.5000, 0.5000, 0.5000)  8 Sn 3.89, 4 Re 4.14
Sn (0.0000, 0.0000, 0.5000)  2 Rb 2.93
Re (0.0000, 0.5000, 0.0000)  2 Rb 2.57
Sn (0.5000, 0.0000, 0.0000)  2 Rb 2.93
Rb (0.0000, 0.0000, 0.0000)  2 Re 2.57


Record 5
## RbBi2Rh (PBE)

Data for an optimized crystal structure of RbBi2Rh.

Output
excess energy over the best structure of this formula in the dataset	0.1	kJ per mole of atoms

Cell: 4.5159 4.5159 7.8627 Å, 73.31 73.31 60.00°
With the nearest neighbours (Å) after each atom.
Fractional coordinates of all 4 atoms:
Rh (0.0000, 0.0000, 0.0000)  6 Bi 2.81
Bi (0.7133, 0.7133, 0.8602)  3 Rh 2.81
Bi (0.2867, 0.2867, 0.1398)  3 Rh 2.81
Rb (0.5000, 0.5000, 0.5000)  6 Bi 3.73


Record 6
## RbBiRh3 (PBE)

Data for an optimized crystal structure of RbBiRh3.

Output
excess energy over the best structure of this formula in the dataset	99.4	kJ per mole of atoms

Cell: 4.8894 4.8894 4.8894 Å, 90.00 90.00 90.00°
With the nearest neighbours (Å) after each atom.
Fractional coordinates of all 5 atoms:
Rh (0.0000, 0.0000, 0.5000)  2 Rb 2.44
Rh (0.0000, 0.5000, 0.0000)  2 Rb 2.44
Rh (0.5000, 0.0000, 0.0000)  2 Rb 2.44
Bi (0.5000, 0.5000, 0.5000)  12 Rh 3.46
Rb (0.0000, 0.0000, 0.0000)  6 Rh 2.44


Record 7
## RbBi2Rh (PBE)

Data for an optimized crystal structure of RbBi2Rh.

Output
excess energy over the best structure of this formula in the dataset	46.6	kJ per mole of atoms

Cell: 5.2866 5.2866 5.2866 Å, 60.00 60.00 60.00°
With the nearest neighbours (Å) after each atom.
Fractional coordinates of all 4 atoms:
Rb (0.0000, 0.0000, 0.0000)  8 Bi 3.24
Rh (0.5000, 0.5000, 0.5000)  8 Bi 3.24
Bi (0.2500, 0.2500, 0.2500)  4 Rh 3.24, 4 Rb 3.24
Bi (0.7500, 0.7500, 0.7500)  4 Rb 3.24, 4 Rh 3.24


Record 8
## RbBi2Rh (PBE)

Data for an optimized crystal structure of RbBi2Rh.

Output
excess energy over the best structure of this formula in the dataset	0.0	kJ per mole of atoms

Cell: 4.4335 7.6741 8.1335 Å, 108.80 89.99 90.01°
With the nearest neighbours (Å) after each atom.
Fractional coordinates of all 8 atoms:
Bi (0.2775, 0.0886, 0.3926)  3 Rh 2.78-2.80
Bi (0.2775, 0.5271, 0.6704)  3 Rh 2.81-2.83
Bi (0.7778, 0.0975, 0.7107)  3 Rh 2.78-2.80
Rb (0.2782, 0.3572, 0.0921)  6 Bi 3.67-4.04, 2 Rh 4.08-4.09
Rh (0.2777, 0.8661, 0.6022)  6 Bi 2.78-2.83
Rb (0.7776, 0.8284, 0.0113)  6 Bi 3.67-4.04, 2 Rh 4.09
Rh (0.7774, 0.3201, 0.5012)  6 Bi 2.78-2.83
Bi (0.7778, 0.6590, 0.4328)  3 Rh 2.82-2.83


Record 9
## RbBi2Rh2 (PBE)

Data for an optimized crystal structure of RbBi2Rh2.

Output
excess energy over the best structure of this formula in the dataset	24.1	kJ per mole of atoms

Cell: 4.9245 4.9245 6.4221 Å, 67.46 67.46 90.00°
With the nearest neighbours (Å) after each atom.
Fractional coordinates of all 5 atoms:
Bi (0.2500, 0.7500, 0.5000)  4 Rh 2.81
Rh (0.6240, 0.6240, 0.7520)  1 Rh 2.68, 4 Bi 2.81
Bi (0.7500, 0.2500, 0.5000)  4 Rh 2.81
Rb (0.0000, 0.0000, 0.0000)  8 Bi 3.65, 10 Rh 3.73-4.06
Rh (0.3760, 0.3760, 0.2480)  1 Rh 2.68, 4 Bi 2.81


Record 10
## RbBi2Rh (PBE)

Data for an optimized crystal structure of RbBi2Rh.

Output
excess energy over the best structure of this formula in the dataset	21.4	kJ per mole of atoms

Cell: 8.6592 8.6592 7.0185 Å, 51.91 51.91 90.00°
With the nearest neighbours (Å) after each atom.
Fractional coordinates of all 8 atoms:
Bi (0.8750, 0.9643, 0.7500)  2 Rh 2.71
Bi (0.0357, 0.6250, 0.2500)  2 Rh 2.71
Rb (0.5000, 0.5000, 0.0000)  2 Rh 3.43, 8 Bi 3.64-3.75
Bi (0.7143, 0.1250, 0.2500)  2 Rh 2.71
Rh (0.0000, 0.0000, 0.0000)  4 Bi 2.71
Bi (0.3750, 0.2857, 0.7500)  2 Rh 2.71
Rh (0.7500, 0.2500, 0.5000)  4 Bi 2.71
Rb (0.2500, 0.7500, 0.5000)  2 Rh 3.43, 8 Bi 3.64-3.75


Record 11
## Rb3BiRh (PBE)

Data for an optimized crystal structure of Rb3BiRh.

Output
excess energy over the best structure of this formula in the dataset	0.0	kJ per mole of atoms

Cell: 5.9822 5.9822 5.9822 Å, 90.00 90.00 90.00°
With the nearest neighbours (Å) after each atom.
Fractional coordinates of all 5 atoms:
Rb (0.0000, 0.5000, 0.0000)  2 Rh 2.99
Rh (0.0000, 0.0000, 0.0000)  6 Rb 2.99
Bi (0.5000, 0.5000, 0.5000)  12 Rb 4.23
Rb (0.5000, 0.0000, 0.0000)  2 Rh 2.99
Rb (0.0000, 0.0000, 0.5000)  2 Rh 2.99


Record 12
## RbBi2Rh2 (PBE)

Data for an optimized crystal structure of RbBi2Rh2.

Output
excess energy over the best structure of this formula in the dataset	25.8	kJ per mole of atoms

Cell: 8.5612 8.5612 3.3135 Å, 90.00 90.00 90.00°
With the nearest neighbours (Å) after each atom.
Fractional coordinates of all 10 atoms:
Rh (0.3769, 0.8769, 0.0000)  4 Bi 2.85, 1 Rh 2.98
Bi (0.3529, 0.1471, 0.5000)  4 Rh 2.85
Rb (0.5000, 0.5000, 0.0000)  2 Rb 3.31, 4 Rh 3.39, 8 Bi 3.67
Bi (0.8529, 0.3529, 0.5000)  4 Rh 2.85
Bi (0.1471, 0.6471, 0.5000)  4 Rh 2.85
Rh (0.1231, 0.3769, 0.0000)  4 Bi 2.85, 1 Rh 2.98
Rb (0.0000, 0.0000, 0.0000)  2 Rb 3.31, 4 Rh 3.39, 8 Bi 3.67
Rh (0.6231, 0.1231, 0.0000)  4 Bi 2.85, 1 Rh 2.98
Rh (0.8769, 0.6231, 0.0000)  4 Bi 2.85, 1 Rh 2.98
Bi (0.6471, 0.8529, 0.5000)  4 Rh 2.85


Calculated values (Å³/cell) of V for the records, taken in order: 361.8, 134.3, 165.9, 175.8, 131.0, 116.9, 104.5, 262.0, 130.9, 257.2, 214.1, 242.9.
Calculated values (kJ/mol of atoms) of energy of formation from the pure elements for the records, taken in order: 122.3, 267.9, 205.0, 218.8, -20.8, 184.5, 25.7, -20.9, 0.7, 0.5, 51.0, 2.4.